# LiTa2BeF | the Alexandria database | PBE | optimized geometry
# Total magnetic moment: 0.00 μB per cell
# E: -29.6 eV for the cell shown
# E_form (uncorrected): 319 meV per atom
data_LiTa2BeF
_cell_length_a 4.593
_cell_length_b 4.593
_cell_length_c 3.232
_cell_angle_alpha 90.00
_cell_angle_beta 90.00
_cell_angle_gamma 90.00
_symmetry_space_group_name_H-M 'P 4/m m m'
_symmetry_Int_Tables_number 123
_symmetry_space_group_name_Hall '-P 4 2'
loop_
_atom_site_label
_atom_site_type_symbol
_atom_site_fract_x
_atom_site_fract_y
_atom_site_fract_z
Li1 Li 0.000 0.000 0.000
Ta1 Ta 0.000 0.500 0.500
Be1 Be 0.500 0.500 0.000
F1 F 0.500 0.500 0.500

# LiBeTlF4 | the Alexandria database | PBE | optimized geometry
# Total magnetic moment: 0.00 μB per cell
# E: -69.7 eV for the cell shown
# E_form (uncorrected): -2768 meV per atom
data_LiBeTlF4
_cell_length_a 4.865
_cell_length_b 5.541
_cell_length_c 7.499
_cell_angle_alpha 90.00
_cell_angle_beta 104.31
_cell_angle_gamma 90.00
_symmetry_space_group_name_H-M 'P 1 21/m 1'
_symmetry_Int_Tables_number 11
_symmetry_space_group_name_Hall '-P 2yb'
loop_
_atom_site_label
_atom_site_type_symbol
_atom_site_fract_x
_atom_site_fract_y
_atom_site_fract_z
Li1 Li 0.146 0.250 0.007
Be1 Be 0.357 0.750 0.195
Tl1 Tl 0.241 0.750 0.640
F1 F 0.151 0.525 0.179
F2 F 0.411 0.250 0.622
F3 F 0.487 0.750 0.026

# Li2Be2TlF7 | the Alexandria database | PBE | optimized geometry
# Total magnetic moment: 0.00 μB per cell
# E: -185.5 eV for the cell shown
# E_form (uncorrected): -2923 meV per atom
data_Li2Be2TlF7
_cell_length_a 5.4864
_cell_length_b 5.4864
_cell_length_c 22.7017
_cell_angle_alpha 90.00
_cell_angle_beta 90.00
_cell_angle_gamma 120.00
_symmetry_space_group_name_H-M 'R 3 2'
_symmetry_Int_Tables_number 155
_symmetry_space_group_name_Hall 'R 3 2"'
loop_
_atom_site_label
_atom_site_type_symbol
_atom_site_fract_x
_atom_site_fract_y
_atom_site_fract_z
Li1 Li 0.0000 0.0000 0.2484
Be1 Be 0.0000 0.0000 0.4302
Tl1 Tl 0.0000 0.0000 0.0000
F1 F 0.0000 0.0000 0.5000
F2 F 0.0354 0.4413 0.0749

# LiBeTlF6 | the Alexandria database | PBE | optimized geometry
# Total magnetic moment: 0.00 μB per cell
# E: -81.9 eV for the cell shown
# E_form (uncorrected): -2410 meV per atom
data_LiBeTlF6
_cell_length_a 5.2262
_cell_length_b 5.2262
_cell_length_c 8.7003
_cell_angle_alpha 90.00
_cell_angle_beta 90.00
_cell_angle_gamma 120.00
_symmetry_space_group_name_H-M 'P -3 1 c'
_symmetry_Int_Tables_number 163
_symmetry_space_group_name_Hall '-P 3 2c'
loop_
_atom_site_label
_atom_site_type_symbol
_atom_site_fract_x
_atom_site_fract_y
_atom_site_fract_z
Li1 Li 0.0000 0.0000 0.0000
Be1 Be 0.3333 0.6667 0.2500
Tl1 Tl 0.3333 0.6667 0.7500
F1 F 0.0601 0.3787 0.1322